No. 1
{
  "formula": "CoTc2Cl",
  "functional": "GGA-PBE",
  "state": "relaxed",
  "space_group": "P4/mmm",
  "magmom_total_mub_per_fu": 0.00,
  "e_form_raw_ev_per_fu": 2.87,
  "lattice": [[-2.609, -0.279, 0.931], [1.372, -2.858, 2.990], [0.656, 3.261, 2.816]],
  "species": ["Co", "Tc", "Tc", "Cl"],
  "fractional_positions": [[0.500, 0.000, 0.500], [0.000, 0.000, 0.000], [0.000, 0.500, 0.500], [0.500, 0.500, 0.000]]
}

=====

No. 2
{
  "formula": "CoTcCl",
  "functional": "GGA-PBE",
  "state": "relaxed",
  "space_group": "I4mm",
  "magmom_total_mub_per_fu": 0.98,
  "e_form_raw_ev_per_fu": 1.33,
  "lattice": [[6.076, 0.062, 0.000], [4.709, 3.841, 0.000], [-5.393, -1.951, 2.009]],
  "species": ["Co", "Tc", "Cl"],
  "fractional_positions": [[0.302, 0.302, 0.000], [0.676, 0.676, 0.000], [0.022, 0.022, 0.000]]
}

=====

No. 3
{
  "formula": "CoTc2Cl",
  "functional": "GGA-PBE",
  "state": "relaxed",
  "space_group": "R3m",
  "magmom_total_mub_per_fu": 1.64,
  "e_form_raw_ev_per_fu": 1.18,
  "lattice": [[8.313, 0.010, 0.006], [7.828, 2.799, 0.006], [7.828, 1.362, 2.445]],
  "species": ["Co", "Tc", "Tc", "Cl"],
  "fractional_positions": [[0.753, 0.753, 0.753], [0.001, 0.001, 0.001], [0.250, 0.250, 0.250], [0.496, 0.496, 0.496]]
}

=====

No. 4
{
  "formula": "CoTc2Cl",
  "functional": "GGA-PBE",
  "state": "relaxed",
  "space_group": "Cm",
  "magmom_total_mub_per_fu": 0.33,
  "e_form_raw_ev_per_fu": 2.33,
  "lattice": [[4.783, -0.003, 0.002], [3.958, 2.686, 0.002], [-0.090, -0.028, 4.348]],
  "species": ["Co", "Tc", "Tc", "Cl"],
  "fractional_positions": [[0.279, 0.279, 0.240], [0.005, 0.005, 0.017], [0.721, 0.721, 0.775], [0.495, 0.495, 0.468]]
}

=====

No. 5
{
  "formula": "CoTc2Cl",
  "functional": "GGA-PBE",
  "state": "relaxed",
  "space_group": "P4/mmm",
  "magmom_total_mub_per_fu": 1.02,
  "e_form_raw_ev_per_fu": 2.06,
  "lattice": [[2.971, 0.000, 0.000], [0.000, 2.971, 0.000], [0.000, 0.000, 6.446]],
  "species": ["Co", "Tc", "Tc", "Cl"],
  "fractional_positions": [[0.500, 0.500, 0.750], [0.000, 0.000, 0.960], [0.000, 0.000, 0.540], [0.500, 0.500, 0.250]]
}

=====

No. 6
{
  "formula": "CoTcCl6",
  "functional": "GGA-PBE",
  "state": "relaxed",
  "space_group": "C2/m",
  "magmom_total_mub_per_fu": 6.04,
  "e_form_raw_ev_per_fu": -5.06,
  "lattice": [[-5.078, 1.095, 4.482], [5.273, -4.002, 1.802], [2.861, 4.766, 1.986]],
  "species": ["Co", "Tc", "Cl", "Cl", "Cl", "Cl", "Cl", "Cl"],
  "fractional_positions": [[0.000, 0.000, 0.500], [0.000, 0.000, 0.000], [0.273, 0.994, 0.250], [0.994, 0.273, 0.250], [0.006, 0.727, 0.750], [0.727, 0.006, 0.750], [0.276, 0.276, 0.768], [0.724, 0.724, 0.232]]
}